Material: Ac4BiTeAs2
Method: DFT, GGA-PBE
State: optimized geometry

The structure in extended XYZ format:
```
8
Lattice="-3.318 3.318 6.605 3.318 -3.318 6.605 3.318 3.318 -6.605" Properties=species:S:1:pos:R:3 pbc="T T T"
Ac 0.000 0.000 3.146
Ac 0.000 3.318 0.142
Ac 0.000 0.000 10.065
Ac 0.000 3.318 6.464
Bi 3.318 0.000 3.303
Te 0.000 0.000 6.605
As 0.000 0.000 0.000
As 0.000 3.318 3.303
```

Crystal system: tetragonal
ΔE_f (raw), eV/f.u.: -10.98
Total energy, eV per atom: -5.4663